Material: AsHPdN2
Method: DFT, GGA-PBE
State: relaxed

Results
As for the crystal system: tetragonal. Its space group is No. 123.

Structure (POSCAR):
```
AsHPdN2
1.0
3.922 0.000 0.000
0.000 3.219 0.000
0.000 0.000 3.922
H As Pd N
1 1 1 2
Direct
0.000 0.500 0.000
0.000 0.000 0.000
0.500 0.500 0.500
0.000 0.000 0.500
0.500 0.000 0.000
```

---

Material: BaSr3P
Method: DFT, GGA-PBE
State: relaxed

Results
The formation energy is -2.39 eV per formula unit. As for the crystal system: orthorhombic. Its space group is No. 63. The calculation puts the offset from the most stable computed form at 0.0 meV per atom.

Structure (POSCAR):
```
BaSr3P
1.0
7.077 0.407 2.855
-0.682 8.767 0.438
-0.373 -0.409 7.623
Ba Sr P
2 6 2
Direct
0.703 0.887 0.606
0.216 0.386 0.119
0.223 0.137 0.600
0.709 0.387 0.613
0.696 0.637 0.126
0.696 0.136 0.126
0.222 0.636 0.599
0.209 0.886 0.113
0.469 0.386 0.372
0.450 0.887 0.353
```

---

Material: MnCrPt
Method: DFT, GGA-PBE
State: relaxed

Results
The formation energy is -0.29 eV per formula unit. As for the crystal system: trigonal. Its space group is No. 156. The calculation puts the offset from the most stable computed form at 49.6 meV per atom.

Structure (POSCAR):
```
MnCrPt
1.0
4.191 0.000 0.000
-2.095 3.629 0.000
0.000 0.000 2.746
Cr Mn Pt
1 1 1
Direct
0.000 0.000 0.168
0.667 0.333 0.165
0.333 0.667 0.667
```

---

Material: Ba3PI3
Method: DFT, GGA-PBE
State: relaxed

Results
As for the crystal system: cubic. The calculation puts the formation energy from raw total energies at -11.07 eV/f.u. Its space group is No. 214.

Structure (POSCAR):
```
Ba3PI3
1.0
-11.604 2.881 -0.615
1.134 -11.077 4.399
5.659 7.740 7.169
Ba P I
12 4 12
Direct
0.971 0.485 0.235
0.515 0.029 0.265
0.250 0.015 0.485
0.985 0.750 0.015
0.985 0.235 0.471
0.765 0.015 0.029
0.735 0.471 0.485
0.765 0.750 0.235
0.529 0.265 0.015
0.250 0.235 0.265
0.735 0.265 0.750
0.515 0.485 0.750
0.750 0.500 0.000
0.500 0.250 0.500
0.750 0.250 0.250
0.000 0.000 0.250
0.248 0.998 0.996
0.750 0.752 0.748
0.496 0.748 0.998
0.002 0.250 0.998
0.252 0.748 0.250
0.498 0.502 0.250
0.248 0.250 0.752
0.252 0.504 0.502
0.750 0.998 0.502
0.004 0.502 0.752
0.002 0.752 0.504
0.498 0.996 0.748
```

---

Material: ScBi
Method: DFT, GGA-PBE
State: relaxed

Results
The formation energy is -0.88 eV per formula unit. As for the crystal system: tetragonal. Its space group is No. 87.

Structure (POSCAR):
```
ScBi
1.0
-0.128 -4.444 -8.983
0.889 -8.953 4.417
-5.889 -0.437 0.300
Sc Bi
8 8
Direct
0.349 0.876 0.000
0.651 0.124 0.000
0.124 0.349 0.000
0.876 0.651 0.000
0.849 0.376 0.500
0.151 0.624 0.500
0.624 0.849 0.500
0.376 0.151 0.500
0.366 0.180 0.000
0.634 0.820 0.000
0.820 0.366 0.000
0.180 0.634 0.000
0.866 0.680 0.500
0.134 0.320 0.500
0.320 0.866 0.500
0.680 0.134 0.500
```

---

Material: Tb2PmNd4Tm
Method: DFT, GGA-PBE
State: relaxed

Results
The formation energy is 0.13 eV per formula unit. As for the crystal system: monoclinic. Its space group is No. 10.

Structure (POSCAR):
```
Tb2PmNd4Tm
1.0
-1.343 1.293 -3.122
-3.244 -5.309 -0.804
-10.183 2.869 5.567
Tb Pm Nd Tm
2 1 4 1
Direct
0.000 0.000 0.000
0.500 0.000 0.500
0.500 0.500 0.000
0.000 0.751 0.748
0.000 0.249 0.252
0.500 0.749 0.252
0.500 0.251 0.748
0.000 0.500 0.500
```

---

Material: TcAsSe
Method: DFT, GGA-PBE
State: relaxed

Results
As for the crystal system: tetragonal. The calculation puts the formation energy from raw total energies at -0.40 eV/f.u. Its space group is No. 107. The calculation puts the offset from the most stable computed form at 184.1 meV per atom.

Structure (POSCAR):
```
TcAsSe
1.0
-5.800 3.360 1.589
-6.337 1.548 -2.214
5.313 -4.203 1.252
As Tc Se
1 1 1
Direct
0.044 0.044 0.000
0.671 0.671 0.000
0.285 0.285 0.000
```

---

Material: InFeHg2P
Method: DFT, GGA-PBE
State: relaxed

Results
The formation energy is 1.98 eV per formula unit. As for the crystal system: tetragonal. Its space group is No. 123.

Structure (POSCAR):
```
InFeHg2P
1.0
5.324 0.000 0.000
0.000 4.302 0.000
0.000 0.000 5.324
Fe P Hg In
1 1 2 1
Direct
0.000 0.500 0.000
0.000 0.000 0.000
0.000 0.000 0.500
0.500 0.000 0.000
0.500 0.500 0.500
```

---

Material: RbCoTe2C
Method: DFT, GGA-PBE
State: relaxed

Results
As for the crystal system: tetragonal. The calculation puts the formation energy from raw total energies at 13.97 eV/f.u. Its space group is No. 123.

Structure (POSCAR):
```
RbCoTe2C
1.0
6.552 0.000 0.000
0.000 5.235 0.000
0.000 0.000 6.552
C Te Co Rb
1 2 1 1
Direct
0.500 0.500 0.500
0.000 0.000 0.500
0.500 0.000 0.000
0.000 0.500 0.000
0.000 0.000 0.000
```

---

Material: DyTh2Re
Method: DFT, GGA-PBE
State: relaxed

Results
The formation energy is 1.06 eV per formula unit. As for the crystal system: trigonal. Its space group is No. 166. The calculation puts the offset from the most stable computed form at 128.7 meV per atom.

Structure (POSCAR):
```
DyTh2Re
1.0
3.964 0.000 0.000
1.982 3.433 0.000
1.982 1.144 9.070
Re Th Dy
1 2 1
Direct
0.000 0.000 0.000
0.273 0.273 0.182
0.727 0.727 0.818
0.500 0.500 0.500
```

---

Material: BaTbSb
Method: DFT, GGA-PBE
State: relaxed

Results
As for the crystal system: monoclinic. The calculation puts the formation energy from raw total energies at -2.48 eV/f.u. Its space group is No. 12.

Structure (POSCAR):
```
BaTbSb
1.0
4.896 0.030 -0.224
-0.041 4.896 -0.224
-2.010 -2.039 9.281
Sb Ba Tb
2 2 2
Direct
0.882 0.882 0.762
0.118 0.118 0.238
0.324 0.324 0.648
0.676 0.676 0.352
0.500 0.000 0.000
0.000 0.500 0.000
```

---

Material: UInAg
Method: DFT, GGA-PBE
State: relaxed

Results
The formation energy is 0.52 eV per formula unit. As for the crystal system: trigonal. Its space group is No. 156.

Structure (POSCAR):
```
UInAg
1.0
-2.184 -0.910 -1.883
2.898 -0.557 -0.664
-0.457 -7.102 3.961
U Ag In
1 1 1
Direct
0.000 0.000 0.004
0.667 0.333 0.342
0.333 0.667 0.654
```

---

Material: Cd2AgBr
Method: DFT, GGA-PBE
State: relaxed

Results
As for the crystal system: monoclinic. The calculation puts the formation energy from raw total energies at -0.45 eV/f.u. Its space group is No. 8. The calculation puts the offset from the most stable computed form at 44.3 meV per atom.

Structure (POSCAR):
```
Cd2AgBr
1.0
-1.342 5.036 -0.320
-4.190 2.975 0.929
-0.524 4.516 6.258
Br Ag Cd
1 1 2
Direct
0.739 0.739 0.738
0.478 0.478 0.402
0.039 0.039 0.083
0.244 0.244 0.277
```

---

Material: La2In3
Method: DFT, GGA-PBE
State: relaxed

Results
The formation energy is -2.05 eV per formula unit. As for the crystal system: trigonal. Its space group is No. 166. The calculation puts the offset from the most stable computed form at 85.1 meV per atom.

Structure (POSCAR):
```
La2In3
1.0
6.383 -2.641 -0.041
6.383 2.641 -0.041
5.318 0.000 4.408
La In
2 3
Direct
0.401 0.401 0.401
0.599 0.599 0.599
0.000 0.000 0.000
0.814 0.814 0.814
0.186 0.186 0.186
```

---

Material: SmDyTmTh
Method: DFT, GGA-PBE
State: relaxed

Results
The formation energy is 0.54 eV per formula unit. As for the crystal system: cubic. Its space group is No. 216. The calculation puts the offset from the most stable computed form at 123.6 meV per atom.

Structure (POSCAR):
```
SmDyTmTh
1.0
-0.342 -1.111 -5.549
-1.511 -5.171 -1.768
-5.062 -0.800 -2.424
Tm Sm Th Dy
1 1 1 1
Direct
0.500 0.500 0.500
0.750 0.750 0.750
0.250 0.250 0.250
0.000 0.000 0.000
```

---

Material: Li2Zn6Cu3
Method: DFT, GGA-PBE
State: relaxed

Results
The formation energy is -1.35 eV per formula unit. As for the crystal system: triclinic. Its space group is No. 2.

Structure (POSCAR):
```
Li2Zn6Cu3
1.0
4.464 -1.628 0.240
-1.956 5.795 2.431
-0.634 5.320 9.071
Li Zn Cu
2 6 3
Direct
0.549 0.281 0.181
0.451 0.719 0.819
0.732 0.355 0.922
0.907 0.435 0.647
0.268 0.645 0.078
0.093 0.565 0.353
0.634 0.804 0.551
0.366 0.196 0.449
0.000 0.000 0.000
0.814 0.892 0.284
0.186 0.108 0.716
```

---

Material: AlWSe
Method: DFT, GGA-PBE
State: relaxed

Results
As for the crystal system: cubic. The calculation puts the formation energy from raw total energies at 2.56 eV/f.u. Its space group is No. 216. The calculation puts the offset from the most stable computed form at 844.0 meV per atom.

Structure (POSCAR):
```
AlWSe
1.0
4.273 0.000 0.000
2.137 3.701 0.000
2.137 1.234 3.489
Se W Al
1 1 1
Direct
0.750 0.750 0.750
0.000 0.000 0.000
0.500 0.500 0.500
```

---

Material: Sm5CdTe2
Method: DFT, GGA-PBE
State: relaxed

Results
As for the crystal system: orthorhombic. The calculation puts the formation energy from raw total energies at -4.08 eV/f.u. Its space group is No. 63.

Structure (POSCAR):
```
Sm5CdTe2
1.0
6.082 0.000 0.000
-3.041 6.392 0.000
0.000 0.000 13.607
Sm Cd Te
10 2 4
Direct
0.944 0.887 0.887
0.944 0.887 0.613
0.379 0.758 0.449
0.379 0.758 0.051
0.621 0.242 0.250
0.379 0.758 0.750
0.621 0.242 0.551
0.621 0.242 0.949
0.056 0.113 0.113
0.056 0.113 0.387
0.736 0.473 0.750
0.264 0.527 0.250
0.815 0.629 0.407
0.815 0.629 0.093
0.185 0.371 0.593
0.185 0.371 0.907
```

---

Material: MgCoMo2
Method: DFT, GGA-PBE
State: relaxed

Results
The formation energy is 1.18 eV per formula unit. As for the crystal system: monoclinic. Its space group is No. 8.

Structure (POSCAR):
```
MgCoMo2
1.0
-1.607 -1.530 -4.538
-2.080 -3.617 -2.848
-4.889 0.667 -0.545
Co Mg Mo
1 1 2
Direct
0.484 0.484 0.414
0.222 0.222 0.333
0.007 0.007 0.968
0.787 0.787 0.785
```

---

Material: Tb2SnCl
Method: DFT, GGA-PBE
State: relaxed

Results
As for the crystal system: trigonal. The calculation puts the formation energy from raw total energies at -2.37 eV/f.u. Its space group is No. 166.

Structure (POSCAR):
```
Tb2SnCl
1.0
3.495 0.000 0.000
1.747 3.027 0.000
1.747 1.009 10.532
Tb Sn Cl
2 1 1
Direct
0.097 0.097 0.708
0.903 0.903 0.292
0.000 0.000 0.000
0.500 0.500 0.500
```

---

no.,E_tot (eV per cell)
1,-24.3
2,-29.5
3,-25.1
4,-107.6
5,-88.7
6,-37.4
7,-18.9
8,-15.2
9,-9.6
10,-30.8
11,-26.3
12,-16.4
13,-6.8
14,-20.1
15,-20.7
16,-25.1
17,-17.6
18,-69.7
19,-29.2
20,-17.5